Density functional theory data (SCAN) for a PBEsol-optimized structure of Co3P.

Its space-group type is Immm. The value obtained for the energy above the most stable polymorph in this dataset is 0 meV per atom. Its density of states at the Fermi level is 2.79 states/eV/f.u. The total magnetization is 0.9027 μB/atom.

Lattice parameters (Å, degrees): 2.659 3.877 7.934 90.00 90.00 90.00
Fractional positions:
Co1 0.000 0.000 0.000
Co2 0.000 0.500 0.219
Co3 0.000 0.500 0.781
Co4 0.500 0.000 0.281
Co5 0.500 0.000 0.719
Co6 0.500 0.500 0.500
P1 0.000 0.000 0.500
P2 0.500 0.500 0.000